PBE-GGA Np3AsO3, relaxed; formation energy without anion corrections = -1462 kJ/mol of formula units; raw total energy = -10.50 eV/atom
1.0
-2.563 -2.732 0.909
-1.908 -0.867 -7.988
6.949 -5.065 4.376
O Np As
6 6 2
Cartesian
1.567 -3.096 -0.801 O
0.911 -5.567 -1.903 O
4.650 -6.288 -1.699 O
2.577 -5.152 -4.132 O
-0.099 -3.511 1.428 O
-2.172 -2.376 -1.005 O
-2.823 -3.056 -4.888 Np
-0.552 -3.885 -0.975 Np
5.302 -5.607 2.185 Np
0.316 -5.704 -3.995 Np
3.030 -4.778 -1.729 Np
2.162 -2.959 1.291 Np
-0.001 -2.638 -3.846 As
2.479 -6.026 1.142 As


PBE-GGA NpPaAs2O, relaxed; formation energy without anion corrections = -680 kJ/mol of formula units; raw total energy = -8.75 eV/atom
1.0
-2.822 -2.752 -0.680
2.571 -2.889 1.022
-4.030 0.957 12.849
Np As Pa O
2 4 2 2
Cartesian
-0.374 -1.050 5.803 Np
-3.781 -0.813 7.218 Np
-4.984 -0.528 11.052 As
-1.477 -0.788 9.321 As
-2.678 -1.075 3.700 As
0.829 -1.336 1.968 As
-2.296 -0.594 11.931 Pa
-1.859 -1.270 1.089 Pa
-2.015 0.478 6.425 O
-2.140 -2.342 6.595 O